Here is a relaxed FeBO2 crystal from Alexandria via LeMat-Bulk. Energies are from PBE with a Hubbard U.

Results
ρ: 4.77 g/cm3
density of states at the Fermi level: 3.5 states/eV/cell
calculated total energy: -6.70 eV/atom
crystal system: tetragonal

CIF file:
```
data_FeBO2
_symmetry_space_group_name_H-M 'I -4 2 d'
_symmetry_Int_Tables_number 122
_symmetry_space_group_name_Hall 'I -4 2bw'
_cell_length_a 4.490
_cell_length_b 4.490
_cell_length_c 6.813
_cell_angle_alpha 90.00
_cell_angle_beta 90.00
_cell_angle_gamma 90.00
loop_
_atom_site_label
_atom_site_fract_x
_atom_site_fract_y
_atom_site_fract_z
Fe1 0.000 0.000 0.000
B1 0.000 0.000 0.500
O1 0.115 0.250 0.625
```